No. 1
A relaxed structure of NbGa2OsCl, computed with PBEsol.

As for the space group: No. 123. The value obtained for the formation energy (no corrections) is 1.302 eV per atom. The calculation puts the magnetization at 0.3 μB/cell.

a b c (Å): 4.590 4.590 4.329
angles (deg): 90.00 90.00 90.00
Fractional coordinates of all 5 atoms:
Nb 0.000 0.000 0.000
Ga 0.000 0.500 0.500
Ga 0.500 0.000 0.500
Os 0.500 0.500 0.000
Cl 0.500 0.500 0.500

=====

No. 2
A relaxed structure of NbGaSCl2, computed with PBEsol.

As for the space group: No. 123. The value obtained for the formation energy (no corrections) is -0.581 eV per atom. The calculation puts the magnetization at 0.0 μB/cell.

a b c (Å): 4.892 4.892 4.758
angles (deg): 90.00 90.00 90.00
Fractional coordinates of all 5 atoms:
Nb 0.000 0.000 0.000
Ga 0.500 0.500 0.500
S 0.000 0.000 0.500
Cl 0.000 0.500 0.000
Cl 0.500 0.000 0.000